Entry 1:
# ZrNpSi (PBE, optimized geometry)
# distance to the lowest polymorph of the same formula: 0.000 eV/atom
# magnetic moment: 1.60 μB per atom
data_ZrNpSi
_cell_length_a 6.549
_cell_length_b 6.549
_cell_length_c 6.549
_cell_angle_alpha 90.00
_cell_angle_beta 90.00
_cell_angle_gamma 90.00
_space_group_name_H-M_alt 'F -4 3 m'
_space_group_IT_number 216
_space_group_name_Hall 'F -4 2 3'
loop_
_atom_site_label
_atom_site_type_symbol
_atom_site_fract_x
_atom_site_fract_y
_atom_site_fract_z
_atom_site_occupancy
Zr1 Zr 0.000 0.000 0.000 1
Np1 Np 0.000 0.000 0.500 1
Si1 Si 0.250 0.250 0.750 1


Entry 2:
# KHf (PBE, optimized geometry)
# distance to the lowest polymorph of the same formula: 1.891 eV/atom
# magnetic moment: 1.50 μB per atom
data_KHf
_cell_length_a 8.154
_cell_length_b 8.154
_cell_length_c 8.154
_cell_angle_alpha 90.00
_cell_angle_beta 90.00
_cell_angle_gamma 90.00
_space_group_name_H-M_alt 'F -4 3 m'
_space_group_IT_number 216
_space_group_name_Hall 'F -4 2 3'
loop_
_atom_site_label
_atom_site_type_symbol
_atom_site_fract_x
_atom_site_fract_y
_atom_site_fract_z
_atom_site_occupancy
K1 K 0.000 0.000 0.000 1
Hf1 Hf 0.250 0.250 0.250 1


Entry 3:
# GdSiGePd2 (PBE, optimized geometry)
# magnetic moment: 0.00 μB per atom
data_GdSiGePd2
_cell_length_a 4.223
_cell_length_b 4.223
_cell_length_c 10.130
_cell_angle_alpha 90.00
_cell_angle_beta 90.00
_cell_angle_gamma 90.00
_space_group_name_H-M_alt 'I 4 m m'
_space_group_IT_number 107
_space_group_name_Hall 'I 4 -2'
loop_
_atom_site_label
_atom_site_type_symbol
_atom_site_fract_x
_atom_site_fract_y
_atom_site_fract_z
_atom_site_occupancy
Gd1 Gd 0.000 0.000 0.000 1
Si1 Si 0.000 0.000 0.378 1
Ge1 Ge 0.000 0.000 0.614 1
Pd1 Pd 0.000 0.500 0.256 1


Entry 4:
# TmAgOs (PBE, optimized geometry)
# energy relative to the elements: 0.580 eV per atom
# distance to the lowest polymorph of the same formula: 0.000 eV/atom
# magnetic moment: 0.11 μB per atom
data_TmAgOs
_cell_length_a 6.448
_cell_length_b 6.448
_cell_length_c 6.448
_cell_angle_alpha 90.00
_cell_angle_beta 90.00
_cell_angle_gamma 90.00
_space_group_name_H-M_alt 'F -4 3 m'
_space_group_IT_number 216
_space_group_name_Hall 'F -4 2 3'
loop_
_atom_site_label
_atom_site_type_symbol
_atom_site_fract_x
_atom_site_fract_y
_atom_site_fract_z
_atom_site_occupancy
Tm1 Tm 0.000 0.000 0.000 1
Ag1 Ag 0.000 0.000 0.500 1
Os1 Os 0.250 0.250 0.750 1


Entry 5:
First-principles (PBE) data for AsPd after structural relaxation, as listed in OQMD.

CIF file:
```
data_AsPd
_cell_length_a 4.0855
_cell_length_b 4.0855
_cell_length_c 6.0271
_cell_angle_alpha 90.00
_cell_angle_beta 90.00
_cell_angle_gamma 120.00
_space_group_name_H-M_alt 'P 63 m c'
_space_group_IT_number 186
_space_group_name_Hall 'P 6c -2c'
loop_
_atom_site_label
_atom_site_type_symbol
_atom_site_fract_x
_atom_site_fract_y
_atom_site_fract_z
_atom_site_occupancy
As1 As 0.3333 0.6667 0.0000 1
Pd1 Pd 0.3333 0.6667 0.4025 1
```


Entry 6:
# BaB4Pt (PBE, optimized geometry)
# distance to the lowest polymorph of the same formula: 0.000 eV/atom
# magnetic moment: 0.00 μB per atom
data_BaB4Pt
_cell_length_a 3.2439
_cell_length_b 3.2439
_cell_length_c 7.9543
_cell_angle_alpha 90.00
_cell_angle_beta 90.00
_cell_angle_gamma 120.00
_space_group_name_H-M_alt 'P 6/m m m'
_space_group_IT_number 191
_space_group_name_Hall '-P 6 2'
loop_
_atom_site_label
_atom_site_type_symbol
_atom_site_fract_x
_atom_site_fract_y
_atom_site_fract_z
_atom_site_occupancy
Ba1 Ba 0.0000 0.0000 0.0000 1
B1 B 0.3333 0.6667 0.3042 1
Pt1 Pt 0.0000 0.0000 0.5000 1


Entry 7:
# NpSbPb (PBE, optimized geometry)
# magnetic moment: 1.66 μB per atom
data_NpSbPb
_cell_length_a 7.303
_cell_length_b 7.303
_cell_length_c 7.303
_cell_angle_alpha 90.00
_cell_angle_beta 90.00
_cell_angle_gamma 90.00
_space_group_name_H-M_alt 'F -4 3 m'
_space_group_IT_number 216
_space_group_name_Hall 'F -4 2 3'
loop_
_atom_site_label
_atom_site_type_symbol
_atom_site_fract_x
_atom_site_fract_y
_atom_site_fract_z
_atom_site_occupancy
Np1 Np 0.000 0.000 0.000 1
Sb1 Sb 0.000 0.000 0.500 1
Pb1 Pb 0.250 0.250 0.250 1


Entry 8:
# RbSrTa (PBE, optimized geometry)
# distance to the lowest polymorph of the same formula: 0.341 eV/atom
# magnetic moment: 1.58 μB per atom
data_RbSrTa
_cell_length_a 8.269
_cell_length_b 8.269
_cell_length_c 8.269
_cell_angle_alpha 90.00
_cell_angle_beta 90.00
_cell_angle_gamma 90.00
_space_group_name_H-M_alt 'F -4 3 m'
_space_group_IT_number 216
_space_group_name_Hall 'F -4 2 3'
loop_
_atom_site_label
_atom_site_type_symbol
_atom_site_fract_x
_atom_site_fract_y
_atom_site_fract_z
_atom_site_occupancy
Rb1 Rb 0.000 0.000 0.000 1
Sr1 Sr 0.250 0.250 0.750 1
Ta1 Ta 0.250 0.250 0.250 1


Entry 9:
# TbTmZr2C3 (PBE, optimized geometry)
# magnetic moment: 0.07 μB per atom
data_TbTmZr2C3
_cell_length_a 12.459
_cell_length_b 3.533
_cell_length_c 5.868
_cell_angle_alpha 90.00
_cell_angle_beta 113.49
_cell_angle_gamma 90.00
_space_group_name_H-M_alt 'C 1 m 1'
_space_group_IT_number 8
_space_group_name_Hall 'C -2y'
loop_
_atom_site_label
_atom_site_type_symbol
_atom_site_fract_x
_atom_site_fract_y
_atom_site_fract_z
_atom_site_occupancy
Tb1 Tb 0.000 0.000 0.000 1
Tm1 Tm 0.256 0.500 0.414 1
Zr1 Zr 0.019 0.500 0.540 1
Zr2 Zr 0.240 0.000 0.877 1
C1 C 0.114 0.000 0.468 1
C2 C 0.147 0.500 0.951 1
C3 C 0.377 0.000 0.700 1


Entry 10:
# AcTbAsO (PBE, optimized geometry)
# distance to the lowest polymorph of the same formula: 0.060 eV/atom
# magnetic moment: 0.01 μB per atom
data_AcTbAsO
_cell_length_a 4.522
_cell_length_b 7.678
_cell_length_c 6.413
_cell_angle_alpha 90.00
_cell_angle_beta 90.00
_cell_angle_gamma 90.00
_space_group_name_H-M_alt 'P m c 21'
_space_group_IT_number 26
_space_group_name_Hall 'P 2c -2'
loop_
_atom_site_label
_atom_site_type_symbol
_atom_site_fract_x
_atom_site_fract_y
_atom_site_fract_z
_atom_site_occupancy
Ac1 Ac 0.000 0.208 0.000 1
Tb1 Tb 0.500 0.392 0.579 1
As1 As 0.000 0.192 0.495 1
O1 O 0.500 0.346 0.928 1


Entry 11:
# NiIr2Os (PBE, optimized geometry)
# energy relative to the elements: 0.456 eV per atom
# magnetic moment: 0.01 μB per atom
data_NiIr2Os
_cell_length_a 6.063
_cell_length_b 6.063
_cell_length_c 6.063
_cell_angle_alpha 90.00
_cell_angle_beta 90.00
_cell_angle_gamma 90.00
_space_group_name_H-M_alt 'F -4 3 m'
_space_group_IT_number 216
_space_group_name_Hall 'F -4 2 3'
loop_
_atom_site_label
_atom_site_type_symbol
_atom_site_fract_x
_atom_site_fract_y
_atom_site_fract_z
_atom_site_occupancy
Ni1 Ni 0.000 0.000 0.000 1
Ir1 Ir 0.000 0.000 0.500 1
Ir2 Ir 0.250 0.250 0.250 1
Os1 Os 0.250 0.250 0.750 1


Entry 12:
# Rb2NaTbF6 (PBE, optimized geometry)
# magnetic moment: 0.00 μB per atom
data_Rb2NaTbF6
_cell_length_a 8.689
_cell_length_b 8.689
_cell_length_c 8.689
_cell_angle_alpha 90.00
_cell_angle_beta 90.00
_cell_angle_gamma 90.00
_space_group_name_H-M_alt 'F m -3 m'
_space_group_IT_number 225
_space_group_name_Hall '-F 4 2 3'
loop_
_atom_site_label
_atom_site_type_symbol
_atom_site_fract_x
_atom_site_fract_y
_atom_site_fract_z
_atom_site_occupancy
Rb1 Rb 0.250 0.250 0.250 1
Na1 Na 0.000 0.000 0.000 1
Tb1 Tb 0.000 0.000 0.500 1
F1 F 0.000 0.000 0.251 1


Total energy list, top to bottom, in eV/atom: -8.870, -2.650, -5.898, -5.595, -4.973, -5.482, -6.382, -2.694, -8.130, -6.559, -8.170, -5.211